18
Lattice="-4.492 4.492 8.003 4.492 -4.492 8.003 4.492 4.492 -8.003" Properties=species:S:1:pos:R:3 comment="La5PrNdDy2 PBE optimized geometry" delta_e_f_ev_per_atom=0.2528 vol_a3_per_atom=35.88 e_tot_ev_per_atom=-4.57 pbc="T T T"
La 0.000 0.000 0.000
La 6.242 1.751 -2.194
La 1.751 2.741 -2.194
La 6.242 1.751 2.194
La 1.751 2.741 2.194
La 0.000 0.000 8.003
La 2.741 1.751 5.808
La -1.751 2.741 5.808
La 2.741 1.751 10.197
La -1.751 2.741 10.197
Pr 4.492 0.000 4.001
Pr 0.000 4.492 4.001
Nd 0.000 0.000 4.001
Nd 0.000 0.000 12.004
Dy 3.431 1.061 0.000
Dy 3.431 -1.061 8.003
Dy 1.061 5.553 0.000
Dy 1.061 3.431 8.003

20
Lattice="5.408 -4.485 0.000 5.408 4.485 0.000 -4.138 0.000 6.233" Properties=species:S:1:pos:R:3 comment="AlCuPt3 PBE optimized geometry" delta_e_f_ev_per_atom=-0.4123 relative_energy_mev_per_atom=185 vol_a3_per_atom=15.12 e_tot_ev_per_atom=-5.60 pbc="T T T"
Al 2.305 4.186 4.675
Al 4.374 1.426 1.558
Al 2.305 -1.426 4.675
Al 4.374 -4.186 1.558
Cu 1.088 1.825 4.732
Cu 3.522 1.825 4.618
Cu 3.157 -1.825 1.615
Cu 5.591 -1.825 1.502
Pt 2.505 3.100 2.457
Pt 1.904 1.192 0.230
Pt 6.243 3.100 0.659
Pt 2.028 0.366 2.840
Pt -0.165 -1.192 3.347
Pt -0.041 -0.366 5.956
Pt 6.720 0.366 0.277
Pt 6.844 1.192 2.886
Pt 4.651 -0.366 3.394
Pt 0.436 -3.100 5.574
Pt 4.775 -1.192 6.003
Pt 4.174 -3.100 3.776

13
Lattice="0.000 5.114 5.114 5.114 0.000 5.114 5.114 5.114 0.000" Properties=species:S:1:pos:R:3 comment="Ho8C4N PBE optimized geometry" e_form_raw_kj_per_mol_fu=-571 vol_a3_per_atom=20.58 e_tot_ev_per_atom=-6.75 pbc="T T T"
Ho 3.945 3.945 3.945
Ho 6.283 6.283 3.945
Ho 6.283 3.945 6.283
Ho 8.888 6.455 6.455
Ho 3.945 6.283 6.283
Ho 6.455 8.888 6.455
Ho 6.455 6.455 8.888
Ho 8.888 8.888 8.888
C 6.371 3.857 3.857
C 3.857 6.371 3.857
C 3.857 3.857 6.371
C 6.371 6.371 6.371
N 0.000 0.000 0.000